The following is a PBE calculation of an optimized crystal structure of Tb4PrEr2, from Alexandria via LeMat-Bulk.

As for the formation energy: 12.07 kJ per mole of atoms.

The space group is P2_1/m (No. 11) and the conventional cell measures 6.179, 6.541 and 11.505 Å, with angles of 90.00, 104.30 and 90.00 degrees. The distinct sites, in fractional coordinates, are Tb at (0.147, 0.008, 0.288), Tb at (0.207, 0.250, 0.572), Tb at (0.348, 0.750, 0.838), Pr at (0.460, 0.750, 0.140), Er at (0.106, 0.250, 0.996) and Er at (0.355, 0.750, 0.551).

---

The following is a PBE calculation of an optimized crystal structure of Tb2Pr4Er3, from Alexandria via LeMat-Bulk.

As for the formation energy: 4.34 kJ per mole of atoms. The distance to the lowest polymorph of the same formula comes out at 0 meV/atom.

The space group is P-1 (No. 2) and the conventional cell measures 7.132, 8.556 and 10.449 Å, with angles of 99.10, 100.18 and 101.82 degrees. The distinct sites, in fractional coordinates, are Tb at (0.059, 0.334, 0.392), Tb at (0.175, 0.024, 0.163), Pr at (0.023, 0.663, 0.944), Pr at (0.142, 0.328, 0.736), Pr at (0.325, 0.975, 0.835), Pr at (0.443, 0.664, 0.609), Er at (0.251, 0.000, 0.498), Er at (0.362, 0.675, 0.261) and Er at (0.475, 0.336, 0.055).

---

The following is a PBE calculation of an optimized crystal structure of Tb4Pr5Er4, from Alexandria via LeMat-Bulk.

As for the formation energy: 2.11 kJ per mole of atoms.

The space group is I4/m (No. 87) and the conventional cell measures 13.013, 13.013 and 5.083 Å, with angles of 90.00, 90.00 and 90.00 degrees. The distinct sites, in fractional coordinates, are Tb at (0.155, 0.233, 0.000), Pr at (0.000, 0.000, 0.000), Pr at (0.038, 0.804, 0.500) and Er at (0.075, 0.613, 0.000).

---

The following is a PBE calculation of an optimized crystal structure of Tb6Pr4Er, from Alexandria via LeMat-Bulk.

As for the formation energy: 27.86 kJ per mole of atoms. The distance to the lowest polymorph of the same formula comes out at 127 meV/atom.

The space group is I-42m (No. 121) and the conventional cell measures 6.716, 6.716 and 17.014 Å, with angles of 90.00, 90.00 and 90.00 degrees. The distinct sites, in fractional coordinates, are Tb at (0.000, 0.500, 0.000), Tb at (0.177, 0.177, 0.378), Pr at (0.190, 0.190, 0.176) and Er at (0.000, 0.000, 0.000).

---

The following is a PBE calculation of an optimized crystal structure of TbPr3Er7, from Alexandria via LeMat-Bulk.

As for the formation energy: 16.83 kJ per mole of atoms. The distance to the lowest polymorph of the same formula comes out at 51 meV/atom.

The space group is P3m1 (No. 156) and the conventional cell measures 7.0491, 7.0491 and 8.6892 Å, with angles of 90.00, 90.00 and 120.00 degrees. The distinct sites, in fractional coordinates, are Tb at (0.0000, 0.0000, 0.0000), Pr at (0.3336, 0.1668, 0.6596), Er at (0.1661, 0.3322, 0.3211), Er at (0.5007, 0.0014, 0.9995) and Er at (0.6667, 0.3333, 0.3197).

---

The following is a PBE calculation of an optimized crystal structure of Tb15Pr4Er, from Alexandria via LeMat-Bulk.

As for the formation energy: 1.79 kJ per mole of atoms.

The space group is P4/mmm (No. 123) and the conventional cell measures 5.081, 5.081 and 25.317 Å, with angles of 90.00, 90.00 and 90.00 degrees. The distinct sites, in fractional coordinates, are Tb at (0.000, 0.000, 0.000), Tb at (0.000, 0.000, 0.198), Tb at (0.000, 0.000, 0.399), Tb at (0.000, 0.500, 0.098), Tb at (0.000, 0.500, 0.299), Tb at (0.000, 0.500, 0.500), Pr at (0.500, 0.500, 0.199), Pr at (0.500, 0.500, 0.399) and Er at (0.500, 0.500, 0.000).

---

The following is a PBE calculation of an optimized crystal structure of Tb2PrEr3, from Alexandria via LeMat-Bulk.

As for the formation energy: 1.69 kJ per mole of atoms. The distance to the lowest polymorph of the same formula comes out at 0 meV/atom.

The space group is Cmcm (No. 63) and the conventional cell measures 10.731, 6.191 and 11.515 Å, with angles of 90.00, 90.00 and 90.00 degrees. The distinct sites, in fractional coordinates, are Tb at (0.166, 0.166, 0.250), Pr at (0.000, 0.334, 0.750), Er at (0.000, 0.000, 0.000) and Er at (0.168, 0.500, 0.000).

---

The following is a PBE calculation of an optimized crystal structure of Tb5Pr4Er2, from Alexandria via LeMat-Bulk.

As for the formation energy: 10.44 kJ per mole of atoms. The distance to the lowest polymorph of the same formula comes out at 0 meV/atom.

The space group is C2/m (No. 12) and the conventional cell measures 19.279, 5.696 and 6.686 Å, with angles of 90.00, 90.90 and 90.00 degrees. The distinct sites, in fractional coordinates, are Tb at (0.000, 0.000, 0.000), Tb at (0.130, 0.500, 0.891), Tb at (0.209, 0.500, 0.403), Pr at (0.019, 0.500, 0.288), Pr at (0.193, 0.000, 0.069) and Er at (0.097, 0.000, 0.553).

---

The following is a PBE calculation of an optimized crystal structure of Tb8Pr4Er3, from Alexandria via LeMat-Bulk.

As for the formation energy: 34.45 kJ per mole of atoms.

The space group is C2/m (No. 12) and the conventional cell measures 13.494, 12.862 and 6.798 Å, with angles of 90.00, 120.01 and 90.00 degrees. The distinct sites, in fractional coordinates, are Tb at (0.000, 0.139, 0.000), Tb at (0.000, 0.244, 0.500), Tb at (0.227, 0.000, 0.457), Tb at (0.233, 0.000, 0.984), Pr at (0.000, 0.500, 0.000), Pr at (0.000, 0.500, 0.500), Pr at (0.250, 0.250, 0.500), Er at (0.000, 0.000, 0.500) and Er at (0.250, 0.250, 0.000).

---

The following is a PBE calculation of an optimized crystal structure of Tb2Pr3Er, from Alexandria via LeMat-Bulk.

As for the formation energy: -0.17 kJ per mole of atoms. The distance to the lowest polymorph of the same formula comes out at 0 meV/atom.

The space group is Cmcm (No. 63) and the conventional cell measures 10.945, 6.319 and 11.675 Å, with angles of 90.00, 90.00 and 90.00 degrees. The distinct sites, in fractional coordinates, are Tb at (0.167, 0.167, 0.250), Pr at (0.000, 0.000, 0.000), Pr at (0.166, 0.500, 0.000) and Er at (0.000, 0.333, 0.750).

---

The following is a PBE calculation of an optimized crystal structure of Tb6PrEr3, from Alexandria via LeMat-Bulk.

As for the formation energy: 25.62 kJ per mole of atoms.

The space group is R3 (No. 146, hexagonal axes) and the conventional cell measures 9.8067, 9.8067 and 11.7858 Å, with angles of 90.00, 90.00 and 120.00 degrees. The distinct sites, in fractional coordinates, are Tb at (0.0001, 0.3344, 0.0000), Tb at (0.0008, 0.6703, 0.8336), Pr at (0.0000, 0.0000, 0.3322), Er at (0.0000, 0.0000, 0.0767), Er at (0.0000, 0.0000, 0.5846) and Er at (0.0000, 0.0000, 0.8314).

---

The following is a PBE calculation of an optimized crystal structure of TbPrEr, from Alexandria via LeMat-Bulk.

As for the formation energy: 3.74 kJ per mole of atoms. The distance to the lowest polymorph of the same formula comes out at 15 meV/atom.

The space group is Cmcm (No. 63) and the conventional cell measures 3.558, 20.347 and 5.458 Å, with angles of 90.00, 90.00 and 90.00 degrees. The distinct sites, in fractional coordinates, are Tb at (0.000, 0.040, 0.250), Pr at (0.000, 0.205, 0.250) and Er at (0.000, 0.386, 0.250).

---

Per-record M_tot, μB per atom: 0.00; 0.00; 0.00; 0.00; 0.00; 0.00; 0.00; 0.00; 0.00; 0.00; 0.00; 0.00